# HfVTe3

Crystalline HfVTe3 at its relaxed geometry (PBE, Alexandria).

a b c (Å): 4.007 5.909 5.910
angles (deg): 72.81 90.00 90.00
Positions (direct):
1 Hf 0.512 0.245 0.757
2 V 0.012 0.907 0.095
3 Te 0.512 0.102 0.280
4 Te 0.012 0.524 0.478
5 Te 0.512 0.722 0.900

The calculation puts the energy above the most stable polymorph in this dataset at 0.0000 eV/atom. The density of states at the Fermi level is 4.638 states/eV per cell. The symmetry is Amm2 (38). For the volume, the calculation gives 26.7 Å³ per atom. The value obtained for the formation energy from raw total energies is -0.312 eV/atom.